No. 1
VASP calculation (PBE) on crystalline Mg2InSe at its relaxed geometry.

```
4
Lattice="-2.090 -3.467 -3.246 2.139 -4.701 -0.503 -2.440 -4.175 1.883" Properties=species:S:1:pos:R:3 pbc="T T T"
Mg -0.598 -3.086 -0.467
In -1.195 -6.172 -0.933
Mg 0.000 0.000 0.000
Se -1.793 -9.258 -1.400
```

Summary:
**Crystal system**: cubic
**Space-group type**: F-43m, No. 216
**M_tot**: 0.0 μB/cell
**E_tot**: -2.372 eV/atom
**Raw formation energy**: -0.0190 eV/atom
**E above lowest polymorph**: 540 meV per atom



No. 2
VASP calculation (PBE) on crystalline Pm3PrY at its relaxed geometry.

```
10
Lattice="-4.733 -3.598 0.430 1.364 2.232 -5.929 5.984 -8.167 -1.075" Properties=species:S:1:pos:R:3 pbc="T T T"
Pm 0.050 -0.940 -5.414
Y 4.963 -7.271 -3.521
Pm 3.770 -4.649 -1.848
Pm 2.565 -8.593 -1.160
Pr 0.398 -5.229 -1.858
Pm 1.251 -1.750 -2.068
Pr 2.217 -4.304 -4.716
Pm -1.155 -4.884 -4.726
Pm 1.365 -7.783 -4.506
Y -2.348 -2.262 -3.053
```

Summary:
**Crystal system**: triclinic
**Space-group type**: P-1, No. 2
**Energy of formation**: 176 meV per atom
**M_tot**: 0.0 μB/cell
**E_tot**: -4.923 eV/atom
**E above lowest polymorph**: 150 meV per atom